1.
The following is a PBE-GGA calculation of a relaxed structure of CrTcAg2, from the Alexandria database.

Results
For the density of states at the Fermi level, the calculation gives 2.2 states/eV per cell. The value obtained for the formation energy is 493 meV per atom.

Cell lengths 5.2846, 5.2846, 5.2846 Å; angles 146.56, 126.67, 64.43 degrees
Fractional positions:
Ag: 0.0091 0.0091 0.0000
Ag: 0.7320 0.2320 0.5000
Cr: 0.4693 0.4693 0.0000
Tc: 0.2896 0.7896 0.5000



2.
The following is a PBE-GGA calculation of a relaxed structure of TiHg2Pb, from the Alexandria database.

Results
For the density of states at the Fermi level, the calculation gives 3.1 states/eV per cell. The value obtained for the formation energy is 232 meV per atom.

Cell lengths 8.1470, 8.1470, 6.4708 Å; angles 50.99, 50.99, 90.00 degrees
Fractional positions:
Hg: 0.3750 0.4035 0.7500
Hg: 0.5965 0.1250 0.2500
Hg: 0.8750 0.8465 0.7500
Hg: 0.1535 0.6250 0.2500
Pb: 0.7500 0.2500 0.5000
Pb: 0.0000 0.0000 0.0000
Ti: 0.5000 0.5000 0.0000
Ti: 0.2500 0.7500 0.5000



3.
The following is a PBE-GGA calculation of a relaxed structure of Tb2Th3Ni2, from the Alexandria database.

Results
For the density of states at the Fermi level, the calculation gives 6.9 states/eV per cell. The value obtained for the formation energy is -248 meV per atom.

Cell lengths 3.7220, 6.1569, 9.0184 Å; angles 69.42, 78.09, 72.41 degrees
Fractional positions:
Ni: 0.8575 0.0788 0.2063
Ni: 0.1425 0.9212 0.7937
Tb: 0.1670 0.4709 0.1951
Tb: 0.8330 0.5291 0.8049
Th: 0.3816 0.8031 0.4337
Th: 0.5000 0.0000 0.0000
Th: 0.6184 0.1969 0.5663



4.
The following is a PBE-GGA calculation of a relaxed structure of Tc2HgBi, from the Alexandria database.

Results
For the density of states at the Fermi level, the calculation gives 3.9 states/eV per cell. The value obtained for the formation energy is 750 meV per atom.

Cell lengths 4.7090, 4.7090, 4.7090 Å; angles 60.00, 60.00, 60.00 degrees
Site moments in Bohr magnetons follow the coordinates.
Fractional positions:
Tc: 0.7500 0.7500 0.7500  0.89
Tc: 0.2500 0.2500 0.2500  0.89
Hg: 0.0000 0.0000 0.0000  0.02
Bi: 0.5000 0.5000 0.5000  -0.04



5.
The following is a PBE-GGA calculation of a relaxed structure of LaZr2Br, from the Alexandria database.

Results
For the density of states at the Fermi level, the calculation gives 5.3 states/eV per cell. For the energy relative to the elements, uncorrected, the calculation gives -0.09 eV/atom.

Cell lengths 5.7461, 3.5351, 5.1181 Å; angles 88.58, 90.00, 90.00 degrees
Fractional positions:
Zr: 0.0000 0.0535 0.9819
Zr: 0.0000 0.4465 0.5181
Br: 0.5000 0.2500 0.2500
La: 0.5000 0.7500 0.7500



6.
The following is a PBE-GGA calculation of a relaxed structure of SiICl, from the Alexandria database.

Results
For the energy relative to the elements, uncorrected, the calculation gives -0.29 eV/atom.

Cell lengths 4.9683, 5.0052, 9.5817 Å; angles 105.15, 105.00, 90.03 degrees
Fractional positions:
I: 0.9944 0.0784 0.7411
I: 0.8042 0.3892 0.3612
Si: 0.6646 0.2749 0.0816
Si: 0.1341 0.2443 0.0207
Cl: 0.2005 0.6731 0.1531
Cl: 0.5986 0.5709 0.9491



7.
The following is a PBE-GGA calculation of a relaxed structure of Ba2CaHf, from the Alexandria database.

Results
For the density of states at the Fermi level, the calculation gives 5.1 states/eV per cell. The value obtained for the formation energy is 624 meV per atom.

Cell lengths 6.1233, 6.1233, 6.1233 Å; angles 60.00, 60.00, 60.00 degrees
Fractional positions:
Hf: 0.5000 0.5000 0.5000
Ba: 0.2500 0.2500 0.2500
Ba: 0.7500 0.7500 0.7500
Ca: 0.0000 0.0000 0.0000



8.
The following is a PBE-GGA calculation of a relaxed structure of AcPaNiSe4, from the Alexandria database.

Results
For the density of states at the Fermi level, the calculation gives 6.2 states/eV per cell. For the energy relative to the elements, uncorrected, the calculation gives -1.32 eV/atom.

Cell lengths 6.6489, 6.3228, 8.4201 Å; angles 90.00, 107.31, 90.00 degrees
Site moments in Bohr magnetons follow the coordinates.
Fractional positions:
Pa: 0.7501 0.7500 0.4427  -0.20
Pa: 0.2499 0.2500 0.5573  -0.20
Se: 0.0204 0.5113 0.7298  0.01
Se: 0.5787 0.2500 0.8737  0.01
Se: 0.9796 0.4887 0.2702  0.01
Se: 0.5679 0.2500 0.3947  0.01
Se: 0.4213 0.7500 0.1263  0.01
Se: 0.0204 0.9887 0.7298  0.01
Se: 0.4321 0.7500 0.6053  0.01
Se: 0.9796 0.0113 0.2702  0.01
Ni: 0.2414 0.7500 0.3299  0.04
Ni: 0.7586 0.2500 0.6701  0.04
Ac: 0.2449 0.2500 0.0581  0.00
Ac: 0.7551 0.7500 0.9419  0.00



| no. | total magnetization (μB per formula unit) |
| --- | --- |
| 1 | 0.0 |
| 2 | 0.0 |
| 3 | 0.0 |
| 4 | 1.9 |
| 5 | 0.0 |
| 6 | 0.0 |
| 7 | 0.0 |
| 8 | 0.2 |